[1]
{"formula": "TiI2BrO", "functional": "meta-GGA SCAN", "state": "PBEsol geometry", "cell": [[5.634, 0.000, 0.000], [0.000, 5.634, 0.000], [0.000, 0.000, 3.704]], "species": ["Ti", "I", "I", "Br", "O"], "frac_coords": [[0.000, 0.000, 0.000], [0.000, 0.500, 0.000], [0.500, 0.000, 0.000], [0.500, 0.500, 0.500], [0.000, 0.000, 0.500]], "e_form_raw_ev_per_fu": -4.72, "dos_ef_per_ev_cell": 4.5}



[2]
{"formula": "TlI2BrO", "functional": "meta-GGA SCAN", "state": "PBEsol geometry", "cell": [[5.978, 0.000, 0.000], [0.000, 5.978, 0.000], [0.000, 0.000, 3.989]], "species": ["Tl", "I", "I", "Br", "O"], "frac_coords": [[0.000, 0.000, 0.000], [0.000, 0.500, 0.500], [0.500, 0.000, 0.500], [0.500, 0.500, 0.500], [0.500, 0.500, 0.000]], "e_form_raw_ev_per_fu": 0.76, "dos_ef_per_ev_cell": 1.9}



[3]
{"formula": "YI2BrO", "functional": "meta-GGA SCAN", "state": "PBEsol geometry", "cell": [[6.130, 0.000, 0.000], [0.000, 6.130, 0.000], [0.000, 0.000, 4.081]], "species": ["Y", "I", "I", "Br", "O"], "frac_coords": [[0.000, 0.000, 0.000], [0.000, 0.500, 0.000], [0.500, 0.000, 0.000], [0.500, 0.500, 0.500], [0.000, 0.000, 0.500]], "e_form_raw_ev_per_fu": -5.68, "dos_ef_per_ev_cell": 3.5}



[4]
{"formula": "OsI2Br", "functional": "meta-GGA SCAN", "state": "PBEsol geometry", "cell": [[7.034, 0.000, 0.000], [0.000, 7.034, 0.000], [0.000, 0.000, 7.034]], "species": ["Os", "Os", "Os", "Os", "I", "I", "I", "I", "I", "I", "I", "I", "Br", "Br", "Br", "Br"], "frac_coords": [[0.000, 0.000, 0.000], [0.000, 0.500, 0.500], [0.500, 0.000, 0.500], [0.500, 0.500, 0.000], [0.250, 0.250, 0.250], [0.250, 0.250, 0.750], [0.250, 0.750, 0.250], [0.250, 0.750, 0.750], [0.750, 0.250, 0.250], [0.750, 0.250, 0.750], [0.750, 0.750, 0.250], [0.750, 0.750, 0.750], [0.000, 0.000, 0.500], [0.000, 0.500, 0.000], [0.500, 0.000, 0.000], [0.500, 0.500, 0.500]], "e_form_raw_ev_per_fu": 5.55, "dos_ef_per_ev_cell": 9.5}